Entry 1:
## TcMoIr3 (GGA-PBE)

Data for TcMoIr3 after structural relaxation.

Output
Excess energy over the best structure of this formula in the dataset: 2073 meV per atom
Total moment: 3.4 μB per formula unit
Formation energy from the elements: 1882 meV per atom
Uncorrected energy: -7.67 eV per atom

Geometry as CIF:
```
data_TcMoIr3
_symmetry_space_group_name_H-M 'P m -3 m'
_symmetry_Int_Tables_number 221
_symmetry_space_group_name_Hall '-P 4 2 3'
_cell_length_a 4.663
_cell_length_b 4.663
_cell_length_c 4.663
_cell_angle_alpha 90.00
_cell_angle_beta 90.00
_cell_angle_gamma 90.00
loop_
_atom_site_label
_atom_site_type_symbol
_atom_site_fract_x
_atom_site_fract_y
_atom_site_fract_z
Tc1 Tc 0.000 0.000 0.000
Mo1 Mo 0.500 0.500 0.500
Ir1 Ir 0.000 0.000 0.500
```

=====

Entry 2:
## Tb3SmTmSc (GGA-PBE)

Data for Tb3SmTmSc after structural relaxation.

Output
Total moment: 0.0 μB per formula unit
Formation energy from the elements: 36 meV per atom
Uncorrected energy: -4.87 eV per atom

Geometry as CIF:
```
data_Tb3SmTmSc
_symmetry_space_group_name_H-M 'C m c m'
_symmetry_Int_Tables_number 63
_symmetry_space_group_name_Hall '-C 2c 2'
_cell_length_a 4.951
_cell_length_b 14.873
_cell_length_c 9.967
_cell_angle_alpha 90.00
_cell_angle_beta 90.00
_cell_angle_gamma 90.00
loop_
_atom_site_label
_atom_site_type_symbol
_atom_site_fract_x
_atom_site_fract_y
_atom_site_fract_z
Tb1 Tb 0.000 0.167 0.001
Tb2 Tb 0.000 0.331 0.250
Sm1 Sm 0.000 0.003 0.250
Tm1 Tm 0.000 0.500 0.000
Sc1 Sc 0.000 0.332 0.750
```

=====

Entry 3:
## AcY2Cd2 (GGA-PBE)

Data for AcY2Cd2 after structural relaxation.

Output
Total moment: 0.3 μB per formula unit
Formation energy from the elements: -116 meV per atom
Uncorrected energy: -3.89 eV per atom

Geometry as CIF:
```
data_AcY2Cd2
_symmetry_space_group_name_H-M 'C m m m'
_symmetry_Int_Tables_number 65
_symmetry_space_group_name_Hall '-C 2 2'
_cell_length_a 3.897
_cell_length_b 21.468
_cell_length_c 3.787
_cell_angle_alpha 90.00
_cell_angle_beta 90.00
_cell_angle_gamma 90.00
loop_
_atom_site_label
_atom_site_type_symbol
_atom_site_fract_x
_atom_site_fract_y
_atom_site_fract_z
Ac1 Ac 0.000 0.000 0.000
Y1 Y 0.000 0.182 0.000
Cd1 Cd 0.000 0.395 0.500
```

=====

Entry 4:
## BaMgCdHg3 (GGA-PBE)

Data for BaMgCdHg3 after structural relaxation.

Output
Total moment: 0.0 μB per formula unit
Formation energy from the elements: -208 meV per atom
Uncorrected energy: -1.10 eV per atom

Geometry as CIF:
```
data_BaMgCdHg3
_symmetry_space_group_name_H-M 'C m c m'
_symmetry_Int_Tables_number 63
_symmetry_space_group_name_Hall '-C 2c 2'
_cell_length_a 7.231
_cell_length_b 14.298
_cell_length_c 6.903
_cell_angle_alpha 90.00
_cell_angle_beta 90.00
_cell_angle_gamma 90.00
loop_
_atom_site_label
_atom_site_type_symbol
_atom_site_fract_x
_atom_site_fract_y
_atom_site_fract_z
Ba1 Ba 0.000 0.206 0.250
Mg1 Mg 0.000 0.456 0.250
Cd1 Cd 0.000 0.137 0.750
Hg1 Hg 0.000 0.342 0.750
Hg2 Hg 0.208 0.000 0.000
```

=====

Entry 5:
## MgTc2Ge3 (GGA-PBE)

Data for MgTc2Ge3 after structural relaxation.

Output
Total moment: 0.0 μB per formula unit
Formation energy from the elements: -45 meV per atom
Uncorrected energy: -6.07 eV per atom

Geometry as CIF:
```
data_MgTc2Ge3
_symmetry_space_group_name_H-M 'C m c m'
_symmetry_Int_Tables_number 63
_symmetry_space_group_name_Hall '-C 2c 2'
_cell_length_a 9.163
_cell_length_b 8.477
_cell_length_c 5.219
_cell_angle_alpha 90.00
_cell_angle_beta 90.00
_cell_angle_gamma 90.00
loop_
_atom_site_label
_atom_site_type_symbol
_atom_site_fract_x
_atom_site_fract_y
_atom_site_fract_z
Mg1 Mg 0.000 0.089 0.250
Tc1 Tc 0.228 0.500 0.000
Ge1 Ge 0.000 0.409 0.250
Ge2 Ge 0.148 0.236 0.750
```

=====

Entry 6:
## KRb2CdBi2 (GGA-PBE)

Data for KRb2CdBi2 after structural relaxation.

Output
Total moment: 0.1 μB per formula unit
Formation energy from the elements: -280 meV per atom
Uncorrected energy: -2.23 eV per atom

Geometry as CIF:
```
data_KRb2CdBi2
_symmetry_space_group_name_H-M 'I b a m'
_symmetry_Int_Tables_number 72
_symmetry_space_group_name_Hall '-I 2 2c'
_cell_length_a 8.601
_cell_length_b 16.484
_cell_length_c 7.666
_cell_angle_alpha 90.00
_cell_angle_beta 90.00
_cell_angle_gamma 90.00
loop_
_atom_site_label
_atom_site_type_symbol
_atom_site_fract_x
_atom_site_fract_y
_atom_site_fract_z
K1 K 0.000 0.000 0.250
Rb1 Rb 0.211 0.328 0.000
Cd1 Cd 0.000 0.500 0.250
Bi1 Bi 0.200 0.402 0.500
```